# 1
VASP calculation (PBE) on Ho2Th3Co2 after structural relaxation.

Cell lengths 3.6896, 6.0969, 8.9030 Å; angles 69.00, 78.04, 72.39 degrees
Element x y z (fractional)
Ho1 0.1700 0.4619 0.1982
Ho2 0.8300 0.5381 0.8018
Th1 0.5000 0.0000 0.0000
Th2 0.3816 0.8087 0.4282
Th3 0.6184 0.1913 0.5718
Co1 0.1339 0.9390 0.7931
Co2 0.8661 0.0610 0.2069



# 2
VASP calculation (PBE) on Ho3Th2Co2 after structural relaxation.

Cell lengths 3.6240, 6.2010, 8.7557 Å; angles 101.87, 101.97, 107.05 degrees
Element x y z (fractional)
Ho1 0.5000 0.0000 0.0000
Ho2 0.1938 0.8114 0.5774
Ho3 0.8062 0.1886 0.4226
Th1 0.6361 0.4597 0.8131
Th2 0.3639 0.5403 0.1869
Co1 0.0552 0.8733 0.2373
Co2 0.9448 0.1267 0.7627



# 3
VASP calculation (PBE) on HoThCo2 after structural relaxation.

Results
Energy relative to the lowest polymorph listed for this composition = 111 meV per atom

Cell lengths 3.4021, 4.7841, 4.7841 Å; angles 90.00, 90.00, 90.00 degrees
Element x y z (fractional)
Co1 0.0000 0.0000 0.5000
Co2 0.0000 0.5000 0.0000
Ho1 0.5000 0.5000 0.5000
Th1 0.5000 0.0000 0.0000



# 4
VASP calculation (PBE) on Ho2ThCo2 after structural relaxation.

Results
Energy relative to the lowest polymorph listed for this composition = 11 meV per atom

Cell lengths 6.0199, 6.0885, 7.1193 Å; angles 99.33, 90.00, 119.63 degrees
Element x y z (fractional)
Ho1 0.5506 0.3125 0.1530
Ho2 0.2381 0.6875 0.3470
Ho3 0.4494 0.6875 0.8470
Ho4 0.7619 0.3125 0.6530
Th1 0.9121 0.0000 0.2500
Th2 0.0879 0.0000 0.7500
Co1 0.6882 0.6880 0.4911
Co2 0.0001 0.3120 0.0089
Co3 0.3118 0.3120 0.5089
Co4 0.9999 0.6880 0.9911



# 5
VASP calculation (PBE) on HoTmThCo after structural relaxation.

Cell lengths 3.6950, 3.6932, 9.1716 Å; angles 89.99, 89.98, 60.07 degrees
Last column: magnetic moment on the atom in μB.
Element x y z (fractional)
Ho1 0.9796 0.8427 0.6452  0.30
Tm1 0.6445 0.5091 0.9506  0.06
Th1 0.6435 0.5090 0.3223  0.04
Co1 0.9778 0.8426 0.1448  0.05



# 6
VASP calculation (PBE) on YHoThCo after structural relaxation.

Cell lengths 3.7239, 3.7223, 9.2342 Å; angles 89.99, 89.98, 60.06 degrees
Last column: magnetic moment on the atom in μB.
Element x y z (fractional)
Y1 0.6444 0.5092 0.9491  0.05
Ho1 0.9793 0.8426 0.6412  0.30
Th1 0.6438 0.5090 0.3222  0.03
Co1 0.9779 0.8425 0.1503  0.05



# 7
VASP calculation (PBE) on HoThZnCo after structural relaxation.

Cell lengths 4.9650, 4.9650, 4.9650 Å; angles 60.00, 60.00, 60.00 degrees
Last column: magnetic moment on the atom in μB.
Element x y z (fractional)
Zn1 0.0000 0.0000 0.0000  0.01
Co1 0.5000 0.5000 0.5000  0.48
Ho1 0.7500 0.7500 0.7500  -0.04
Th1 0.2500 0.2500 0.2500  -0.04



# 8
VASP calculation (PBE) on HoTiCo11 after structural relaxation.

Cell lengths 6.3287, 6.3287, 6.3287 Å; angles 136.64, 97.92, 97.77 degrees
Last column: magnetic moment on the atom in μB.
Element x y z (fractional)
Ho1 0.0070 0.0000 0.0070  -0.36
Ti1 0.6299 0.0000 0.6299  -0.64
Co1 0.2263 0.5000 0.7263  1.49
Co2 0.7794 0.5000 0.2794  1.31
Co3 0.7825 0.2833 0.4993  1.50
Co4 0.2160 0.7167 0.4993  1.50
Co5 0.4998 0.4956 0.5003  1.48
Co6 0.4998 0.9995 0.0042  1.48
Co7 0.0047 0.0005 0.5003  1.48
Co8 0.0047 0.5044 0.0042  1.48
Co9 0.3529 0.0000 0.3529  1.34
Co10 0.3565 0.3579 0.9986  1.66
Co11 0.6406 0.6421 0.9986  1.66



# 9
VASP calculation (PBE) on HoTi2Co3 after structural relaxation.

Cell lengths 3.0215, 3.0215, 9.6797 Å; angles 90.00, 90.00, 90.00 degrees
Last column: magnetic moment on the atom in μB.
Element x y z (fractional)
Ho1 0.5000 0.5000 0.5000  -0.01
Ti1 0.5000 0.5000 0.8437  -0.01
Ti2 0.5000 0.5000 0.1563  -0.01
Co1 0.0000 0.0000 0.0000  -0.33
Co2 0.0000 0.0000 0.7115  0.41
Co3 0.0000 0.0000 0.2885  0.41



# 10
VASP calculation (PBE) on HoTiCo4 after structural relaxation.

Cell lengths 4.8874, 4.8874, 4.8874 Å; angles 60.00, 60.00, 60.00 degrees
Last column: magnetic moment on the atom in μB.
Element x y z (fractional)
Co1 0.6254 0.6254 0.1237  0.99
Co2 0.6254 0.1237 0.6254  0.99
Co3 0.6254 0.6254 0.6254  0.99
Co4 0.1237 0.6254 0.6254  0.99
Ho1 0.2500 0.2500 0.2500  -0.31
Ti1 0.0000 0.0000 0.0000  -0.65



# 11
VASP calculation (PBE) on HoTiCo after structural relaxation.

Results
Energy relative to the lowest polymorph listed for this composition = 166 meV per atom

Cell lengths 5.0020, 5.0020, 5.5314 Å; angles 106.56, 106.56, 111.69 degrees
Element x y z (fractional)
Ho1 0.6828 0.3172 0.0000
Ho2 0.3172 0.6828 0.0000
Ti1 0.8120 0.8120 0.6240
Ti2 0.1880 0.1880 0.3760
Co1 0.7500 0.2500 0.5000
Co2 0.2500 0.7500 0.5000



# 12
VASP calculation (PBE) on HoTiCo after structural relaxation.

Results
Energy relative to the lowest polymorph listed for this composition = 0 meV per atom

Cell lengths 4.2530, 4.2530, 6.2435 Å; angles 90.00, 90.00, 90.00 degrees
Element x y z (fractional)
Ho1 0.0000 0.5000 0.8652
Ho2 0.5000 0.0000 0.1348
Ti1 0.5000 0.5000 0.5000
Ti2 0.0000 0.0000 0.5000
Co1 0.0000 0.5000 0.3061
Co2 0.5000 0.0000 0.6939



# 13
VASP calculation (PBE) on Ho2Ti2Co15 after structural relaxation.

Cell lengths 6.3221, 6.3221, 6.3221 Å; angles 82.53, 82.53, 82.53 degrees
Last column: magnetic moment on the atom in μB.
Element x y z (fractional)
Ho1 0.3539 0.3539 0.3539  -0.33
Ho2 0.6461 0.6461 0.6461  -0.33
Ti1 0.1064 0.1064 0.1064  -0.56
Ti2 0.8936 0.8936 0.8936  -0.56
Co1 0.0000 0.5000 0.0000  1.21
Co2 0.0000 0.0000 0.5000  1.21
Co3 0.5000 0.0000 0.0000  1.21
Co4 0.7074 0.0000 0.2926  1.49
Co5 0.2926 0.7074 0.0000  1.49
Co6 0.0000 0.2926 0.7074  1.49
Co7 0.7074 0.2926 0.0000  1.49
Co8 0.0000 0.7074 0.2926  1.49
Co9 0.2926 0.0000 0.7074  1.49
Co10 0.6518 0.1522 0.6518  1.30
Co11 0.6518 0.6518 0.1522  1.30
Co12 0.1522 0.6518 0.6518  1.30
Co13 0.3482 0.8478 0.3482  1.30
Co14 0.3482 0.3482 0.8478  1.30
Co15 0.8478 0.3482 0.3482  1.30



# 14
VASP calculation (PBE) on Ho4Tl3Co after structural relaxation.

Cell lengths 3.5353, 3.5353, 15.9199 Å; angles 90.00, 90.00, 90.00 degrees
Last column: magnetic moment on the atom in μB.
Element x y z (fractional)
Tl1 0.5000 0.5000 0.2352  0.01
Tl2 0.5000 0.5000 0.5000  0.00
Tl3 0.5000 0.5000 0.7648  0.01
Co1 0.5000 0.5000 0.0000  1.13
Ho1 0.0000 0.0000 0.9003  -0.12
Ho2 0.0000 0.0000 0.0997  -0.12
Ho3 0.0000 0.0000 0.3663  -0.15
Ho4 0.0000 0.0000 0.6337  -0.15



# 15
VASP calculation (PBE) on Ho7Tl2Co2 after structural relaxation.

Cell lengths 3.5901, 9.6757, 9.6757 Å; angles 61.12, 79.31, 79.31 degrees
Element x y z (fractional)
Ho1 0.8188 0.0855 0.2769
Ho2 0.8456 0.4059 0.9030
Ho3 0.5000 0.0357 0.9643
Ho4 0.6369 0.4575 0.2687
Ho5 0.3631 0.7313 0.5425
Ho6 0.1812 0.7231 0.9145
Ho7 0.1544 0.0970 0.5941
Tl1 0.0000 0.7669 0.2331
Tl2 0.5000 0.3605 0.6395
Co1 0.7383 0.8570 0.6664
Co2 0.2617 0.3336 0.1430



# 16
VASP calculation (PBE) on Ho5Tl2Co after structural relaxation.

Results
Energy relative to the lowest polymorph listed for this composition = 0 meV per atom

Cell lengths 4.5961, 8.0284, 11.5987 Å; angles 90.00, 90.00, 90.00 degrees
Element x y z (fractional)
Ho1 0.0000 0.0000 0.5000
Ho2 0.0000 0.5000 0.0000
Ho3 0.0000 0.8589 0.1958
Ho4 0.0000 0.1411 0.8042
Ho5 0.0000 0.6411 0.6958
Ho6 0.0000 0.3589 0.3042
Ho7 0.5000 0.6803 0.4333
Ho8 0.5000 0.3197 0.5667
Ho9 0.5000 0.8197 0.9333
Ho10 0.5000 0.1803 0.0667
Tl1 0.5000 0.5667 0.1705
Tl2 0.5000 0.4333 0.8295
Tl3 0.5000 0.9333 0.6705
Tl4 0.5000 0.0667 0.3295
Co1 0.0000 0.5000 0.5000
Co2 0.0000 0.0000 0.0000



# 17
VASP calculation (PBE) on Ho3TlCo2 after structural relaxation.

Cell lengths 3.8097, 7.3093, 10.0614 Å; angles 90.00, 90.00, 90.00 degrees
Last column: magnetic moment on the atom in μB.
Element x y z (fractional)
Ho1 0.5000 0.2015 0.1706  -0.06
Ho2 0.5000 0.2129 0.7589  -0.09
Ho3 0.0000 0.3232 0.4528  -0.10
Ho4 0.5000 0.7015 0.8294  -0.06
Ho5 0.5000 0.7129 0.2411  -0.09
Ho6 0.0000 0.8232 0.5472  -0.10
Tl1 0.0000 0.9448 0.0068  0.00
Tl2 0.0000 0.4448 0.9932  0.00
Co1 0.0000 0.9842 0.2948  0.54
Co2 0.5000 0.0347 0.4173  0.67
Co3 0.0000 0.4842 0.7052  0.54
Co4 0.5000 0.5347 0.5827  0.67



# 18
VASP calculation (PBE) on Ho11Tl9Co4 after structural relaxation.

Cell lengths 3.6542, 13.0163, 13.0163 Å; angles 112.53, 90.00, 90.00 degrees
Element x y z (fractional)
Ho1 0.0000 0.5810 0.9124
Ho2 0.0000 0.4190 0.0876
Ho3 0.0000 0.9124 0.5810
Ho4 0.0000 0.0876 0.4190
Ho5 0.0000 0.6249 0.3751
Ho6 0.0000 0.3751 0.6249
Ho7 0.0000 0.8374 0.1626
Ho8 0.0000 0.1626 0.8374
Ho9 0.0000 0.0000 0.0000
Ho10 0.0000 0.6861 0.6861
Ho11 0.0000 0.3139 0.3139
Tl1 0.5000 0.6298 0.1540
Tl2 0.5000 0.3702 0.8460
Tl3 0.5000 0.1540 0.6298
Tl4 0.5000 0.8460 0.3702
Tl5 0.5000 0.7803 0.9255
Tl6 0.5000 0.2197 0.0745
Tl7 0.5000 0.9255 0.7803
Tl8 0.5000 0.0745 0.2197
Tl9 0.5000 0.5000 0.5000
Co1 0.5000 0.5498 0.7503
Co2 0.5000 0.4502 0.2497
Co3 0.5000 0.7503 0.5498
Co4 0.5000 0.2497 0.4502



# 19
VASP calculation (PBE) on Ho8TlCo2 after structural relaxation.

Cell lengths 5.2914, 7.8363, 7.8363 Å; angles 113.55, 97.29, 97.29 degrees
Element x y z (fractional)
Ho1 0.9278 0.9316 0.6681
Ho2 0.9278 0.6681 0.9316
Ho3 0.3005 0.6111 0.6111
Ho4 0.5000 0.7497 0.2503
Ho5 0.5000 0.2503 0.7497
Ho6 0.6995 0.3889 0.3889
Ho7 0.0722 0.3319 0.0684
Ho8 0.0722 0.0684 0.3319
Tl1 0.5000 0.0000 0.0000
Co1 0.0000 0.3070 0.6930
Co2 0.0000 0.6930 0.3070



# 20
VASP calculation (PBE) on HoTlCo after structural relaxation.

Cell lengths 3.8648, 3.8648, 11.2254 Å; angles 80.05, 80.04, 59.99 degrees
Last column: magnetic moment on the atom in μB.
Element x y z (fractional)
Ho1 0.4655 0.0869 0.6834  -0.05
Ho2 0.5744 0.1951 0.3570  -0.05
Tl1 0.3182 0.9382 0.1265  0.00
Tl2 0.0556 0.6767 0.9139  0.00
Co1 0.8534 0.4745 0.5200  0.30
Co2 0.1867 0.8078 0.5204  0.31



# 21
VASP calculation (PBE) on Ho4TlCo after structural relaxation.

Results
Energy relative to the lowest polymorph listed for this composition = 165 meV per atom

Cell lengths 6.7341, 6.9159, 7.3858 Å; angles 90.00, 92.54, 90.00 degrees
Element x y z (fractional)
Ho1 0.8938 0.6352 0.1952
Ho2 0.6062 0.1352 0.8048
Ho3 0.3207 0.3386 0.3695
Ho4 0.1793 0.8386 0.6305
Ho5 0.1062 0.3648 0.8048
Ho6 0.3938 0.8648 0.1952
Ho7 0.6793 0.6614 0.6305
Ho8 0.8207 0.1614 0.3695
Tl1 0.0000 0.0000 0.0000
Tl2 0.5000 0.5000 0.0000
Co1 0.5000 0.0000 0.5000
Co2 0.0000 0.5000 0.5000



# 22
VASP calculation (PBE) on Ho5Tl4Co after structural relaxation.

Cell lengths 5.2257, 7.7006, 7.7006 Å; angles 83.39, 70.17, 70.17 degrees
Element x y z (fractional)
Ho1 0.8289 0.3492 0.9953
Ho2 0.1781 0.9953 0.6508
Ho3 0.8242 0.0047 0.3492
Ho4 0.1734 0.6508 0.0047
Ho5 0.5012 0.0000 0.0000
Tl1 0.4995 0.3271 0.6756
Tl2 0.8266 0.6756 0.6729
Tl3 0.1751 0.3244 0.3271
Tl4 0.5022 0.6729 0.3244
Co1 0.0012 0.0000 0.0000



# 23
VASP calculation (PBE) on Ho3Tl2Co after structural relaxation.

Cell lengths 5.1535, 7.1958, 9.3771 Å; angles 112.54, 105.95, 90.00 degrees
Element x y z (fractional)
Ho1 0.4998 0.2500 0.0000
Ho2 0.5002 0.7500 0.0000
Ho3 0.1235 0.1232 0.2469
Ho4 0.8766 0.3768 0.7531
Ho5 0.1234 0.6232 0.2469
Ho6 0.8765 0.8768 0.7531
Tl1 0.6939 0.4434 0.3877
Tl2 0.6939 0.9434 0.3877
Tl3 0.3061 0.0566 0.6123
Tl4 0.3061 0.5566 0.6123
Co1 0.0003 0.7500 0.0000
Co2 0.9997 0.2500 0.0000



Calculated formation energy for every record listed, in sequence, given in eV/atom: -0.2111, -0.2031, -0.1615, -0.2670, 0.0064, 0.0205, -0.1608, -0.1428, -0.3138, -0.2069, -0.0884, -0.2545, -0.1773, -0.2902, -0.2207, -0.2569, -0.2125, -0.3182, -0.1133, -0.2347, -0.0986, -0.1802, -0.2346.
Total energy for every record listed, in sequence, given in eV/atom: -6.73, -6.32, -6.71, -6.42, -5.89, -6.37, -5.26, -7.11, -7.26, -7.02, -6.61, -6.78, -7.10, -4.35, -4.86, -4.60, -5.26, -4.49, -4.95, -4.92, -4.73, -4.13, -4.50.
Magnetization for every record listed, in sequence, given in μB per atom: 0.00, 0.00, 0.00, 0.00, 0.16, 0.16, 0.10, 1.16, 0.08, 0.47, 0.00, 0.00, 0.95, 0.06, 0.00, 0.00, 0.15, 0.00, 0.00, 0.08, 0.00, 0.00, 0.00.